#1
VASP calculation (PBE) on an optimized crystal structure of CrHgCl2.

Unit cell a=6.164 b=5.234 c=4.230 alpha=70.89 beta=82.51 gamma=122.42
Last column: magnetic moment on the atom in μB.
Atoms (fractional coordinates):
Cr 0.000 0.500 0.500  4.16
Hg 0.500 0.500 0.000  -0.02
Cl 0.000 0.000 0.000  -0.02
Cl 0.500 0.000 0.500  -0.02

- M_tot: 4.65 μB per formula unit

***

#2
VASP calculation (PBE) on an optimized crystal structure of CrHgCl2.

Unit cell a=3.924 b=6.222 c=3.947 alpha=90.00 beta=90.00 gamma=90.00
Last column: magnetic moment on the atom in μB.
Atoms (fractional coordinates):
Cr 0.500 0.000 0.500  4.20
Hg 0.000 0.500 0.500  -0.03
Cl 0.000 0.000 0.000  -0.02
Cl 0.500 0.500 0.000  -0.01

- M_tot: 4.69 μB per formula unit

***

#3
VASP calculation (PBE) on an optimized crystal structure of CrHgCl2.

Unit cell a=3.510 b=5.484 c=6.110 alpha=70.68 beta=90.00 gamma=90.00
Last column: magnetic moment on the atom in μB.
Atoms (fractional coordinates):
Cr 0.000 0.421 0.553  3.61
Hg 0.500 0.700 0.738  -0.02
Cl 0.000 0.024 0.887  0.00
Cl 0.500 0.355 0.321  -0.03

- M_tot: 4.00 μB per formula unit

***

Least stable structure: #2